A relaxed structure of DyScPbSe. Source: Alexandria via LeMat-Bulk, functional GGA-PBE.

Values from the calculation:
M_tot: 0.0 μB/cell
raw formation energy: -0.975 eV per atom
V: 100.2 Å³ per cell
space group: No. 8
DFT total energy: -5.5064 eV per atom

a = 3.7288 Å, b = 3.7250 Å, c = 8.6067 Å
α = 90.00°, β = 102.58°, γ = 119.97°
Closest atoms and distances in Å follow each position.
Element x y z (fractional)
Dy  0.9899  0.3930  0.3997  3 Se 2.90
Se  0.4804  0.1382  0.6334  3 Sc 2.72, 3 Dy 2.90
Pb  0.1266  0.9612  0.1030  3 Sc 3.11, 3 Dy 3.27-3.28
Sc  0.2809  0.5384  0.8336  3 Se 2.72


A relaxed structure of ReS. Source: Alexandria via LeMat-Bulk, functional GGA-PBE.

Values from the calculation:
M_tot: 0.0 μB/cell
raw formation energy: 0.224 eV per atom
V: 197.6 Å³ per cell
space group: No. 31
DFT total energy: -8.0633 eV per atom

a = 8.3735 Å, b = 4.2502 Å, c = 5.5534 Å
α = 90.00°, β = 90.00°, γ = 90.00°
Closest atoms and distances in Å follow each position.
Element x y z (fractional)
S  0.3095  0.6179  0.2482  4 Re 2.29-2.36
S  0.8095  0.3821  0.7482  4 Re 2.29-2.36
S  0.5000  0.0281  0.7021  3 Re 2.30-2.31
S  0.1905  0.3821  0.7482  4 Re 2.29-2.36
S  0.6905  0.6179  0.2482  4 Re 2.29-2.36
S  0.0000  0.9719  0.2021  3 Re 2.30-2.31
Re  0.7622  0.1253  0.3780  4 S 2.29-2.36
Re  0.2622  0.8747  0.8780  4 S 2.29-2.36
Re  0.7378  0.8747  0.8780  4 S 2.29-2.36
Re  0.0000  0.6732  0.5474  3 S 2.30-2.31
Re  0.2378  0.1253  0.3780  4 S 2.29-2.36
Re  0.5000  0.3268  0.0474  3 S 2.30-2.31


A relaxed structure of Re2Au. Source: Alexandria via LeMat-Bulk, functional GGA-PBE.

Values from the calculation:
M_tot: 0.0 μB/cell
V: 140.9 Å³ per cell
space group: No. 189
DFT total energy: -8.8970 eV per atom

a = 7.7207 Å, b = 7.7207 Å, c = 2.7302 Å
α = 90.00°, β = 90.00°, γ = 120.00°
Closest atoms and distances in Å follow each position.
Element x y z (fractional)
Re  0.3521  0.3521  0.5000  5 Au 2.72-2.85, 8 Re 2.73-2.94
Re  0.3104  0.0000  0.0000  4 Au 2.67-2.76, 8 Re 2.73-2.94
Re  0.6896  0.6896  0.0000  4 Au 2.67-2.76, 8 Re 2.73-2.94
Re  0.0000  0.6479  0.5000  5 Au 2.72-2.85, 8 Re 2.73-2.94
Re  0.0000  0.3104  0.0000  4 Au 2.67-2.76, 8 Re 2.73-2.94
Re  0.6479  0.0000  0.5000  5 Au 2.72-2.85, 8 Re 2.73-2.94
Au  0.6667  0.3333  0.0000  9 Re 2.67-2.85, 2 Au 2.73
Au  0.3333  0.6667  0.0000  9 Re 2.67-2.85, 2 Au 2.73
Au  0.0000  0.0000  0.5000  9 Re 2.72-2.76, 2 Au 2.73


A relaxed structure of RbAuC3. Source: Alexandria via LeMat-Bulk, functional GGA-PBE.

Values from the calculation:
M_tot: 5.2 μB/cell
V: 86.8 Å³ per cell
space group: No. 221
DFT total energy: -3.5807 eV per atom

a = 4.4270 Å, b = 4.4270 Å, c = 4.4270 Å
α = 90.00°, β = 90.00°, γ = 90.00°
Closest atoms and distances in Å follow each position.
Element x y z (fractional)
Au  0.0000  0.0000  0.0000  6 C 2.21
C  0.5000  0.0000  0.0000  2 Au 2.21
C  0.0000  0.5000  0.0000  2 Au 2.21
C  0.0000  0.0000  0.5000  2 Au 2.21
Rb  0.5000  0.5000  0.5000  12 C 3.13


A relaxed structure of AlCN3. Source: Alexandria via LeMat-Bulk, functional GGA-PBE.

Values from the calculation:
M_tot: 1.6 μB/cell
raw formation energy: 2.562 eV per atom
V: 51.3 Å³ per cell
space group: No. 221
DFT total energy: -5.0261 eV per atom

a = 3.7166 Å, b = 3.7166 Å, c = 3.7166 Å
α = 90.00°, β = 90.00°, γ = 90.00°
Closest atoms and distances in Å follow each position.
Element x y z (fractional)
N  0.5000  0.0000  0.0000  2 Al 1.86
N  0.0000  0.0000  0.5000  2 Al 1.86
N  0.0000  0.5000  0.0000  2 Al 1.86
C  0.5000  0.5000  0.5000  12 N 2.63
Al  0.0000  0.0000  0.0000  6 N 1.86


A relaxed structure of RbMg. Source: Alexandria via LeMat-Bulk, functional GGA-PBE.

Values from the calculation:
M_tot: 0.0 μB/cell
V: 634.1 Å³ per cell
space group: No. 44
DFT total energy: -1.0671 eV per atom

a = 15.8083 Å, b = 5.3448 Å, c = 7.5042 Å
α = 90.00°, β = 90.00°, γ = 90.00°
Closest atoms and distances in Å follow each position.
Element x y z (fractional)
Rb  0.7771  0.5000  0.1398  3 Mg 3.96-4.06
Rb  0.7229  0.0000  0.6398  3 Mg 3.96-4.06
Rb  0.2229  0.5000  0.1398  3 Mg 3.96-4.06
Rb  0.5000  0.5000  0.4979  2 Mg 3.66-3.85
Rb  0.2771  0.0000  0.6398  3 Mg 3.96-4.06
Rb  0.0000  0.0000  0.9979  2 Mg 3.66-3.85
Mg  0.5000  0.5000  0.0106  4 Mg 3.14
Mg  0.0000  0.0000  0.5106  4 Mg 3.14
Mg  0.0931  0.5000  0.6069  3 Mg 2.94-3.14
Mg  0.4069  0.0000  0.1069  3 Mg 2.94-3.14
Mg  0.5931  0.0000  0.1069  3 Mg 2.94-3.14
Mg  0.9069  0.5000  0.6069  3 Mg 2.94-3.14


A relaxed structure of CeTi2P4Pd. Source: Alexandria via LeMat-Bulk, functional GGA-PBE.

Values from the calculation:
M_tot: 0.0 μB/cell
V: 288.0 Å³ per cell
space group: No. 63
DFT total energy: -7.0196 eV per atom

a = 3.7321 Å, b = 6.4269 Å, c = 12.5456 Å
α = 90.00°, β = 90.00°, γ = 106.88°
Closest atoms and distances in Å follow each position.
Element x y z (fractional)
P  0.7333  0.4667  0.6067  1 Pd 2.34, 3 Ti 2.51-2.61
P  0.2667  0.5333  0.1067  1 Pd 2.34, 3 Ti 2.51-2.61
P  0.0000  0.0000  0.0000  4 Ti 2.54
P  0.0000  0.0000  0.5000  4 Ti 2.54
P  0.2667  0.5333  0.3933  1 Pd 2.34, 3 Ti 2.51-2.61
P  0.5353  0.0707  0.2500  2 Pd 2.30
P  0.7333  0.4667  0.8933  1 Pd 2.34, 3 Ti 2.51-2.61
P  0.4647  0.9293  0.7500  2 Pd 2.30
Ce  0.8721  0.7442  0.2500  6 P 2.74-2.90
Ce  0.1279  0.2558  0.7500  6 P 2.74-2.90
Pd  0.8555  0.7109  0.7500  4 P 2.30-2.34
Pd  0.1445  0.2891  0.2500  4 P 2.30-2.34
Ti  0.3750  0.7500  0.5630  6 P 2.51-2.61
Ti  0.6250  0.2500  0.0630  6 P 2.51-2.61
Ti  0.3750  0.7500  0.9370  6 P 2.51-2.61
Ti  0.6250  0.2500  0.4370  6 P 2.51-2.61


A relaxed structure of ZnCoTe2. Source: Alexandria via LeMat-Bulk, functional GGA-PBE.

Values from the calculation:
M_tot: 1.7 μB/cell
raw formation energy: 0.102 eV per atom
V: 95.7 Å³ per cell
space group: No. 99
DFT total energy: -3.5642 eV per atom

a = 3.6105 Å, b = 3.6105 Å, c = 7.3414 Å
α = 90.00°, β = 90.00°, γ = 90.00°
Closest atoms and distances in Å follow each position.
Element x y z (fractional)
Co  0.5000  0.5000  0.7342  5 Te 2.66-2.76
Te  0.5000  0.5000  0.3716  1 Co 2.66, 4 Zn 2.77
Te  0.0000  0.0000  0.8768  1 Zn 2.64, 4 Co 2.76
Zn  0.0000  0.0000  0.5174  5 Te 2.64-2.77


A relaxed structure of Mg2InSe. Source: Alexandria via LeMat-Bulk, functional GGA-PBE.

Values from the calculation:
M_tot: 0.0 μB/cell
raw formation energy: -0.395 eV per atom
V: 196.0 Å³ per cell
space group: No. 122
DFT total energy: -2.7478 eV per atom

a = 7.7506 Å, b = 7.7506 Å, c = 6.3780 Å
α = 52.58°, β = 52.58°, γ = 90.00°
Closest atoms and distances in Å follow each position.
Element x y z (fractional)
Se  0.2500  0.7500  0.5000  4 Mg 2.65
Se  0.5000  0.5000  0.0000  4 Mg 2.65
In  0.7500  0.2500  0.5000  4 Mg 3.08, 2 Se 3.26
In  0.0000  0.0000  0.0000  4 Mg 3.08, 2 Se 3.26
Mg  0.3750  0.4160  0.7500  2 Se 2.65
Mg  0.5840  0.1250  0.2500  2 Se 2.65
Mg  0.8750  0.8340  0.7500  2 Se 2.65
Mg  0.1660  0.6250  0.2500  2 Se 2.65


A relaxed structure of Zn2CrCl. Source: Alexandria via LeMat-Bulk, functional GGA-PBE.

Values from the calculation:
M_tot: 4.7 μB/cell
raw formation energy: 0.525 eV per atom
V: 80.4 Å³ per cell
space group: No. 225
DFT total energy: -2.9795 eV per atom

a = 4.8451 Å, b = 4.8451 Å, c = 4.8451 Å
α = 60.00°, β = 60.00°, γ = 60.00°
Closest atoms and distances in Å follow each position.
Element x y z (fractional)
Zn  0.7500  0.7500  0.7500  4 Cr 2.97, 4 Cl 2.97
Zn  0.2500  0.2500  0.2500  4 Cr 2.97, 4 Cl 2.97
Cr  0.5000  0.5000  0.5000  8 Zn 2.97
Cl  0.0000  0.0000  0.0000  8 Zn 2.97


A relaxed structure of TlHg2F8. Source: Alexandria via LeMat-Bulk, functional GGA-PBE.

Values from the calculation:
M_tot: 1.1 μB/cell
raw formation energy: -1.354 eV per atom
V: 146.7 Å³ per cell
space group: No. 12
DFT total energy: -2.9850 eV per atom

a = 4.1016 Å, b = 5.4702 Å, c = 7.2156 Å
α = 108.25°, β = 106.51°, γ = 90.00°
Closest atoms and distances in Å follow each position.
Element x y z (fractional)
Hg  0.8294  0.3289  0.6587  2 F 2.15-2.22
Hg  0.1706  0.6711  0.3413  2 F 2.15-2.22
F  0.7838  0.6695  0.5675  1 Hg 2.15
F  0.3345  0.0317  0.6689  1 Tl 2.35, 3 Hg 2.47-2.63
F  0.5843  0.4068  0.1687  1 Tl 2.15
F  0.9612  0.1827  0.9224  1 Hg 2.22, 2 Tl 2.42
F  0.2162  0.3305  0.4325  1 Hg 2.15
F  0.0388  0.8173  0.0776  1 Hg 2.22, 2 Tl 2.42
F  0.6655  0.9683  0.3311  1 Tl 2.35, 3 Hg 2.47-2.63
F  0.4157  0.5932  0.8313  1 Tl 2.15
Tl  0.5000  0.0000  0.0000  4 F 2.15-2.35


A relaxed structure of Nd2Ho9Er3. Source: Alexandria via LeMat-Bulk, functional GGA-PBE.

Values from the calculation:
M_tot: 0.0 μB/cell
V: 452.2 Å³ per cell
space group: No. 1
DFT total energy: -4.5012 eV per atom

a = 6.2555 Å, b = 13.5424 Å, c = 10.4054 Å
α = 40.11°, β = 56.34°, γ = 54.53°
Closest atoms and distances in Å follow each position.
Element x y z (fractional)
Ho  0.4101  0.7119  0.9597  3 Er 3.33-3.54, 7 Ho 3.39-3.61, 1 Nd 3.48
Ho  0.7874  0.9314  0.4548  7 Ho 3.33-3.54, 3 Er 3.53-3.61, 1 Nd 3.65
Ho  0.0170  0.5145  0.8022  6 Ho 3.33-3.72, 2 Nd 3.37-3.58, 3 Er 3.48-3.51
Ho  0.0012  0.5104  0.4545  5 Ho 3.38-3.72, 3 Er 3.39-3.54, 3 Nd 3.42-3.64
Ho  0.2312  0.1106  0.2762  3 Er 3.18-3.43, 4 Ho 3.27-3.55
Ho  0.8276  0.9154  0.7764  7 Ho 3.33-3.64, 3 Er 3.55-3.70, 2 Nd 3.58-3.67
Ho  0.0416  0.4796  0.1472  6 Ho 3.33-3.64, 3 Er 3.42-3.61
Ho  0.7083  0.2852  0.9555  4 Ho 3.27-3.50, 3 Er 3.48-3.55, 1 Nd 3.60
Ho  0.1897  0.1176  0.6348  2 Er 3.17-3.42, 1 Nd 3.37, 4 Ho 3.39-3.54
Er  0.4355  0.6998  0.6356  10 Ho 3.41-3.81, 1 Nd 3.52, 1 Er 3.59
Er  0.8167  0.9158  0.1215  7 Ho 3.39-3.56, 3 Nd 3.49-3.57, 1 Er 3.59
Er  0.6166  0.3129  0.2944  8 Ho 3.17-3.54, 1 Nd 3.52
Nd  0.5165  0.2752  0.6973  5 Ho 3.37-3.60, 2 Er 3.52, 1 Nd 3.75
Nd  0.4006  0.7197  0.2897  7 Ho 3.48-3.81, 3 Er 3.49-3.57, 1 Nd 3.75